# 1
Computed, not measured: a geometry-optimized BaPmTe2 structure at the PBE-GGA level of DFT.

The structure in POSCAR format:
```
BaPmTe2
1.0
4.716 0.000 0.000
0.000 4.716 0.000
0.000 0.000 6.652
Ba Pm Te
1 1 2
Cartesian
0.000 0.000 0.000 Ba
2.358 2.358 3.326 Pm
0.000 0.000 3.326 Te
2.358 2.358 0.000 Te
```

final energy = -4.71 eV per atom
space-group type = No. 123

***

# 2
Computed, not measured: a geometry-optimized BaPmTh structure at the PBE-GGA level of DFT.

The structure in POSCAR format:
```
BaPmTh
1.0
0.000 3.942 3.942
3.942 0.000 3.942
3.942 3.942 0.000
Ba Pm Th
1 1 1
Cartesian
0.000 0.000 0.000 Ba
5.913 5.913 5.913 Pm
1.971 1.971 1.971 Th
```

final energy = -3.59 eV per atom
space-group type = No. 216

***

# 3
Computed, not measured: a geometry-optimized BaPmTm structure at the PBE-GGA level of DFT.

The structure in POSCAR format:
```
BaPmTm
1.0
0.000 4.111 4.111
4.111 0.000 4.111
4.111 4.111 0.000
Ba Pm Tm
1 1 1
Cartesian
0.000 0.000 0.000 Ba
4.111 4.111 4.111 Pm
2.056 2.056 2.056 Tm
```

polymorph energy (0 for the lowest one) = 0.00 eV/f.u.
space-group type = No. 216

***

# 4
Computed, not measured: a geometry-optimized BaPmY structure at the PBE-GGA level of DFT.

The structure in POSCAR format:
```
BaPmY
1.0
0.000 4.145 4.145
4.145 0.000 4.145
4.145 4.145 0.000
Ba Pm Y
1 1 1
Cartesian
0.000 0.000 0.000 Ba
4.145 4.145 4.145 Pm
2.073 2.073 2.073 Y
```

polymorph energy (0 for the lowest one) = 0.00 eV/f.u.
space-group type = No. 216

***

# 5
Computed, not measured: a geometry-optimized BaPr structure at the PBE-GGA level of DFT.

The structure in POSCAR format:
```
BaPr
1.0
3.993 0.000 0.000
-1.997 3.458 0.000
0.000 0.000 12.108
Ba Pr
2 2
Cartesian
0.000 0.000 0.000 Ba
0.000 0.000 6.054 Ba
0.000 2.305 3.027 Pr
1.997 1.153 9.081 Pr
```

polymorph energy (0 for the lowest one) = 0.06 eV/f.u.
space-group type = No. 194

***

# 6
Computed, not measured: a geometry-optimized BaPr structure at the PBE-GGA level of DFT.

The structure in POSCAR format:
```
BaPr
1.0
6.290 0.000 0.000
-3.145 5.447 0.000
0.000 0.000 6.016
Ba Pr
2 2
Cartesian
0.000 3.632 1.504 Ba
3.145 1.816 4.512 Ba
0.000 0.000 0.000 Pr
0.000 0.000 3.008 Pr
```

polymorph energy (0 for the lowest one) = 0.76 eV/f.u.
space-group type = No. 194

***

# 7
Computed, not measured: a geometry-optimized BaPr structure at the PBE-GGA level of DFT.

The structure in POSCAR format:
```
BaPr
1.0
0.000 3.571 3.571
3.571 0.000 3.571
3.571 3.571 0.000
Ba Pr
1 1
Cartesian
0.000 0.000 0.000 Ba
3.571 3.571 3.571 Pr
```

polymorph energy (0 for the lowest one) = 1.03 eV/f.u.
space-group type = No. 225

***

# 8
Computed, not measured: a geometry-optimized BaPr structure at the PBE-GGA level of DFT.

The structure in POSCAR format:
```
BaPr
1.0
0.000 3.536 3.536
3.536 0.000 3.536
3.536 3.536 0.000
Ba Pr
1 1
Cartesian
0.000 0.000 0.000 Ba
5.303 5.303 5.303 Pr
```

polymorph energy (0 for the lowest one) = 2.30 eV/f.u.
space-group type = No. 216

***

# 9
Computed, not measured: a geometry-optimized BaPr structure at the PBE-GGA level of DFT.

The structure in POSCAR format:
```
BaPr
1.0
3.973 0.000 0.000
-1.987 3.441 0.000
0.000 0.000 6.600
Ba Pr
1 1
Cartesian
0.000 0.000 0.000 Ba
1.987 1.147 3.300 Pr
```

polymorph energy (0 for the lowest one) = 0.00 eV/f.u.
space-group type = No. 187

***

# 10
Computed, not measured: a geometry-optimized BaPrPt structure at the PBE-GGA level of DFT.

The structure in POSCAR format:
```
BaPrPt
1.0
0.000 3.698 3.698
3.698 0.000 3.698
3.698 3.698 0.000
Ba Pr Pt
1 1 1
Cartesian
0.000 0.000 0.000 Ba
3.698 3.698 3.698 Pr
1.849 1.849 1.849 Pt
```

polymorph energy (0 for the lowest one) = 0.00 eV/f.u.
space-group type = No. 216

***

# 11
Computed, not measured: a geometry-optimized RbBaPrS3 structure at the PBE-GGA level of DFT.

The structure in POSCAR format:
```
RbBaPrS3
1.0
2.193 -9.115 0.000
2.193 9.115 0.000
0.000 0.000 12.102
Rb Ba Pr S
2 2 2 6
Cartesian
2.193 6.658 9.077 Rb
2.193 -6.658 3.026 Rb
2.193 7.007 3.026 Ba
2.193 -7.007 9.077 Ba
2.193 0.000 0.000 Pr
2.193 0.000 6.051 Pr
2.193 7.242 0.055 S
2.193 7.242 5.996 S
2.193 0.057 9.077 S
2.193 -0.057 3.026 S
2.193 -7.242 6.106 S
2.193 -7.242 12.047 S
```

polymorph energy (0 for the lowest one) = 0.41 eV/f.u.
space-group type = No. 63

***

# 12
Computed, not measured: a geometry-optimized RbBaPrS3 structure at the PBE-GGA level of DFT.

The structure in POSCAR format:
```
RbBaPrS3
1.0
16.200 0.000 0.000
0.000 4.260 0.000
0.000 0.000 11.004
Rb Ba Pr S
4 4 4 12
Cartesian
3.784 1.065 1.667 Rb
4.316 3.195 7.169 Rb
11.884 1.065 3.835 Rb
12.416 3.195 9.337 Rb
1.858 1.065 4.724 Ba
6.242 3.195 10.226 Ba
9.958 1.065 0.778 Ba
14.342 3.195 6.279 Ba
1.078 1.065 9.316 Pr
7.022 3.195 3.814 Pr
9.178 1.065 7.190 Pr
15.122 3.195 1.688 Pr
0.731 1.065 1.219 S
1.169 3.195 7.008 S
3.912 1.065 9.539 S
4.188 3.195 4.037 S
6.931 1.065 1.506 S
7.369 3.195 6.721 S
8.831 1.065 4.283 S
9.269 3.195 9.498 S
12.012 1.065 6.967 S
12.288 3.195 1.465 S
15.031 1.065 3.996 S
15.469 3.195 9.785 S
```

polymorph energy (0 for the lowest one) = 0.00 eV/f.u.
space-group type = No. 62

***

# 13
Computed, not measured: a geometry-optimized RbBaPrTe3 structure at the PBE-GGA level of DFT.

The structure in POSCAR format:
```
RbBaPrTe3
1.0
14.793 0.000 0.000
0.000 4.750 0.000
0.000 0.000 21.255
Rb Ba Pr Te
4 4 4 12
Cartesian
3.467 1.187 5.317 Rb
3.929 3.562 15.945 Rb
10.863 1.187 5.310 Rb
11.326 3.562 15.938 Rb
2.118 3.562 11.070 Ba
5.278 1.187 0.443 Ba
9.514 3.562 20.812 Ba
12.675 1.187 10.185 Ba
0.218 1.187 14.510 Pr
7.179 3.562 3.883 Pr
7.614 1.187 17.372 Pr
14.575 3.562 6.745 Pr
0.233 3.562 16.518 Te
1.129 1.187 8.700 Te
3.027 1.187 13.338 Te
4.370 3.562 2.711 Te
6.267 3.562 19.328 Te
7.163 1.187 5.890 Te
7.630 3.562 15.365 Te
8.526 1.187 1.927 Te
10.423 1.187 18.544 Te
11.766 3.562 7.917 Te
13.663 3.562 12.555 Te
14.559 1.187 4.737 Te
```

polymorph energy (0 for the lowest one) = 0.00 eV/f.u.
space-group type = No. 62

***

# 14
Computed, not measured: a geometry-optimized RbBaPrTe3 structure at the PBE-GGA level of DFT.

The structure in POSCAR format:
```
RbBaPrTe3
1.0
2.515 -7.944 0.000
2.515 7.944 0.000
0.000 0.000 12.326
Rb Ba Pr Te
2 2 2 6
Cartesian
2.515 7.441 9.244 Rb
2.515 -7.441 3.081 Rb
2.515 4.094 3.081 Ba
2.515 -4.094 9.244 Ba
2.515 0.000 0.000 Pr
2.515 0.000 6.163 Pr
2.515 5.744 6.445 Te
2.515 5.744 12.043 Te
2.515 1.535 9.244 Te
2.515 -1.535 3.081 Te
2.515 -5.744 0.283 Te
2.515 -5.744 5.880 Te
```

polymorph energy (0 for the lowest one) = 0.98 eV/f.u.
space-group type = No. 63

***

# 15
Computed, not measured: a geometry-optimized BaPr2S3 structure at the PBE-GGA level of DFT.

The structure in POSCAR format:
```
BaPr2S3
1.0
4.211 0.000 0.000
-2.105 3.647 0.000
0.000 0.000 10.498
Ba Pr S
1 2 3
Cartesian
0.000 0.000 0.000 Ba
0.000 2.431 6.833 Pr
2.105 1.216 3.665 Pr
0.000 0.000 5.249 S
0.000 2.431 1.998 S
2.105 1.216 8.500 S
```

final energy = -6.00 eV per atom
space-group type = No. 164

***

# 16
Computed, not measured: a geometry-optimized BaPrTlS3 structure at the PBE-GGA level of DFT.

The structure in POSCAR format:
```
BaPrTlS3
1.0
2.153 -7.744 0.000
2.153 7.744 0.000
0.000 0.000 11.914
Ba Pr Tl S
2 2 2 6
Cartesian
2.153 5.291 8.935 Ba
2.153 -5.291 2.978 Ba
2.153 0.000 0.000 Pr
2.153 0.000 5.957 Pr
2.153 5.796 2.978 Tl
2.153 -5.796 8.935 Tl
2.153 5.880 5.994 S
2.153 5.880 11.877 S
2.153 0.143 2.978 S
2.153 -0.143 8.935 S
2.153 -5.880 0.037 S
2.153 -5.880 5.920 S
```

final energy = -5.02 eV per atom
space-group type = No. 63

***

# 17
Computed, not measured: a geometry-optimized BaPrSb structure at the PBE-GGA level of DFT.

The structure in POSCAR format:
```
BaPrSb
1.0
0.000 3.857 3.857
3.857 0.000 3.857
3.857 3.857 0.000
Ba Pr Sb
1 1 1
Cartesian
0.000 0.000 0.000 Ba
5.786 5.786 5.786 Pr
3.857 3.857 3.857 Sb
```

final energy = -3.74 eV per atom
space-group type = No. 216

***

# 18
Computed, not measured: a geometry-optimized BaPrZnSb2 structure at the PBE-GGA level of DFT.

The structure in POSCAR format:
```
BaPrZnSb2
1.0
2.368 -9.384 0.000
2.368 9.384 0.000
0.000 0.000 7.320
Ba Pr Zn Sb
2 2 2 4
Cartesian
2.368 5.518 3.660 Ba
2.368 -5.518 0.000 Ba
2.368 9.182 1.691 Pr
2.368 -9.182 5.351 Pr
2.368 1.709 2.788 Zn
2.368 -1.709 6.448 Zn
2.368 6.502 7.167 Sb
2.368 1.317 0.005 Sb
2.368 -1.317 3.665 Sb
2.368 -6.502 3.507 Sb
```

final energy = -4.05 eV per atom
space-group type = No. 36

***

# 19
Computed, not measured: a geometry-optimized BaPrTlSe3 structure at the PBE-GGA level of DFT.

The structure in POSCAR format:
```
BaPrTlSe3
1.0
2.271 -7.418 0.000
2.271 7.418 0.000
0.000 0.000 11.414
Ba Pr Tl Se
2 2 2 6
Cartesian
2.271 3.739 8.560 Ba
2.271 -3.739 2.853 Ba
2.271 0.000 0.000 Pr
2.271 0.000 5.707 Pr
2.271 6.932 2.853 Tl
2.271 -6.932 8.560 Tl
2.271 5.347 0.311 Se
2.271 5.347 5.396 Se
2.271 1.395 2.853 Se
2.271 -1.395 8.560 Se
2.271 -5.347 6.018 Se
2.271 -5.347 11.103 Se
```

final energy = -4.58 eV per atom
space-group type = No. 63

***

# 20
Computed, not measured: a geometry-optimized BaPrZnSe3 structure at the PBE-GGA level of DFT.

The structure in POSCAR format:
```
BaPrZnSe3
1.0
2.217 -7.065 0.000
2.217 7.065 0.000
0.000 0.000 11.202
Ba Pr Zn Se
2 2 2 6
Cartesian
2.217 3.547 8.402 Ba
2.217 -3.547 2.801 Ba
0.000 0.000 0.000 Pr
0.000 0.000 5.601 Pr
2.217 0.318 2.801 Zn
2.217 -0.318 8.402 Zn
2.217 6.058 2.801 Se
2.217 1.932 0.840 Se
2.217 1.932 4.761 Se
2.217 -1.932 6.441 Se
2.217 -1.932 10.362 Se
2.217 -6.058 8.402 Se
```

final energy = -4.52 eV per atom
space-group type = No. 63